Entry 1:
Here is a relaxed Rb4Na2Zn crystal from Alexandria. Energies are from GGA-PBE.

- Final energy: -0.035 Ha/atom
- Calculated density: 1.54 Mg/m³
- Calculated volume: 69.64 A^3/atom
- Size of the total moment: 0.0000 μB/atom

```
7
Lattice="-3.448 3.448 10.253 3.448 -3.448 10.253 3.448 3.448 -10.253" Properties=species:S:1:pos:R:3 pbc="T T T"
Rb 3.448 0.000 0.000
Rb 0.000 0.000 3.725
Rb 0.000 3.448 0.000
Rb 0.000 0.000 16.781
Na 0.000 0.000 7.818
Na 0.000 0.000 12.688
Zn 0.000 0.000 0.000
```


Entry 2:
Here is a relaxed Rb2NaZn crystal from Alexandria. Energies are from GGA-PBE.

- Final energy: -0.034 Ha/atom
- Calculated density: 1.95 Mg/m³
- Calculated volume: 55.08 A^3/atom
- Size of the total moment: 0.0000 μB/atom

```
8
Lattice="-5.336 5.336 3.869 5.336 -5.336 3.869 5.336 5.336 -3.869" Properties=species:S:1:pos:R:3 pbc="T T T"
Rb 8.004 2.163 -0.967
Rb 2.163 2.668 0.967
Rb -2.668 3.173 2.901
Rb 3.173 2.668 4.836
Na 5.336 0.000 1.934
Na 0.000 0.000 3.869
Zn 0.000 0.000 0.000
Zn 0.000 5.336 1.934
```


Entry 3:
Here is a relaxed RbNa2Zn2 crystal from Alexandria. Energies are from GGA-PBE.

- Offset from the most stable computed form: 44 meV per atom
- Calculated density: 2.81 Mg/m³
- Calculated volume: 30.96 A^3/atom
- Size of the total moment: 0.0000 μB/atom

```
10
Lattice="9.487 0.000 0.000 0.000 9.487 0.000 0.000 0.000 3.440" Properties=species:S:1:pos:R:3 pbc="T T T"
Rb 0.000 0.000 0.000
Rb 4.744 4.744 0.000
Na 1.176 3.567 0.000
Na 3.567 8.311 0.000
Na 5.920 1.176 0.000
Na 8.311 5.920 0.000
Zn 1.593 6.337 1.720
Zn 3.150 1.593 1.720
Zn 6.337 7.894 1.720
Zn 7.894 3.150 1.720
```


Entry 4:
Here is a relaxed Rb2NaZn crystal from Alexandria. Energies are from GGA-PBE.

- Final energy: -0.036 Ha/atom
- Calculated density: 2.10 Mg/m³
- Calculated volume: 51.17 A^3/atom
- Size of the total moment: 0.0000 μB/atom

```
4
Lattice="4.524 0.000 0.000 0.000 4.524 0.000 0.000 0.000 10.002" Properties=species:S:1:pos:R:3 pbc="T T T"
Rb 0.000 0.000 2.170
Rb 0.000 0.000 7.831
Na 2.262 2.262 5.001
Zn 2.262 2.262 0.000
```


Entry 5:
Here is a relaxed Rb2NaZr crystal from Alexandria. Energies are from GGA-PBE.

- Offset from the most stable computed form: 56 meV per atom
- Calculated density: 2.33 Mg/m³
- Calculated volume: 50.89 A^3/atom
- Size of the total moment: 0.8438 μB/atom

```
8
Lattice="-5.207 5.207 3.754 5.207 -5.207 3.754 5.207 5.207 -3.754" Properties=species:S:1:pos:R:3 pbc="T T T"
Rb 7.810 2.424 -0.938
Rb 2.424 2.603 0.938
Rb -2.603 2.783 2.815
Rb 2.783 2.603 4.692
Na 0.000 0.000 0.000
Na 0.000 5.207 1.877
Zr 5.207 0.000 1.877
Zr 0.000 0.000 3.754
```


Entry 6:
Here is a relaxed Rb3NaZr crystal from Alexandria. Energies are from GGA-PBE.

- Offset from the most stable computed form: 0 meV per atom
- Calculated density: 1.67 Mg/m³
- Calculated volume: 73.77 A^3/atom
- Size of the total moment: 0.8256 μB/atom

```
5
Lattice="7.172 0.000 0.000 0.000 7.172 0.000 0.000 0.000 7.172" Properties=species:S:1:pos:R:3 pbc="T T T"
Rb 0.000 0.000 3.586
Rb 0.000 3.586 0.000
Rb 3.586 0.000 0.000
Na 3.586 3.586 3.586
Zr 0.000 0.000 0.000
```


Entry 7:
Here is a relaxed RbNaZr2 crystal from Alexandria. Energies are from GGA-PBE.

- Offset from the most stable computed form: 0 meV per atom
- Calculated density: 3.94 Mg/m³
- Calculated volume: 30.65 A^3/atom
- Size of the total moment: 0.0000 μB/atom

```
8
Lattice="-2.124 2.124 13.580 2.124 -2.124 13.580 2.124 2.124 -13.580" Properties=species:S:1:pos:R:3 pbc="T T T"
Rb 0.000 0.000 0.000
Rb 0.000 2.124 6.790
Na 2.124 0.000 6.790
Na 0.000 0.000 13.580
Zr 1.062 -1.026 10.185
Zr 1.099 1.062 3.395
Zr 1.062 3.150 -3.395
Zr 1.026 1.062 16.975
```


Entry 8:
Here is a relaxed RbNaZr2 crystal from Alexandria. Energies are from GGA-PBE.

- Offset from the most stable computed form: 482 meV per atom
- Calculated density: 4.10 Mg/m³
- Calculated volume: 29.43 A^3/atom
- Size of the total moment: 0.0000 μB/atom

```
4
Lattice="0.000 3.890 3.890 3.890 0.000 3.890 3.890 3.890 0.000" Properties=species:S:1:pos:R:3 pbc="T T T"
Rb 0.000 0.000 0.000
Na 3.890 3.890 3.890
Zr 1.945 1.945 1.945
Zr 5.835 5.835 5.835
```